V4CoPd2 (PBE, optimized geometry); E_form = 0.570 eV/atom; spin magnetization = 2.23 μB per formula unit; density of states at the Fermi level = 10.9 states/eV/f.u.
1.0
-2.1422 2.1422 6.2955
2.1422 -2.1422 6.2955
2.1422 2.1422 -6.2955
V Co Pd
4 1 2
direct
0.0000 0.5000 0.5000
0.1803 0.1803 0.0000
0.5000 0.0000 0.5000
0.8197 0.8197 0.0000
0.0000 0.0000 0.0000
0.3741 0.3741 0.0000
0.6259 0.6259 0.0000

***

VCoPd2 (PBE, optimized geometry); E_form = -0.125 eV/atom; spin magnetization = 0.25 μB per formula unit; density of states at the Fermi level = 4.1 states/eV/f.u.
1.0
3.8048 0.0000 0.0000
0.0000 3.8048 0.0000
0.0000 0.0000 3.7973
V Co Pd
1 1 2
direct
0.0000 0.0000 0.0000
0.5000 0.5000 0.0000
0.0000 0.5000 0.5000
0.5000 0.0000 0.5000

***

VCoPd2W (PBE, optimized geometry); E_form = 1.357 eV/atom; spin magnetization = 0.00 μB per formula unit; density of states at the Fermi level = 12.1 states/eV/f.u.
1.0
4.5366 0.0000 0.0000
0.0000 4.5366 0.0000
0.0000 0.0000 4.0652
V Co Pd W
1 1 2 1
direct
0.0000 0.0000 0.0000
0.0000 0.0000 0.5000
0.0000 0.5000 0.0000
0.5000 0.0000 0.0000
0.5000 0.5000 0.5000

***

CoPd3W (PBE, optimized geometry); E_form = 1.452 eV/atom; spin magnetization = 2.26 μB per formula unit; density of states at the Fermi level = 15.6 states/eV/f.u.
1.0
4.4588 0.0000 0.0000
0.0000 4.4588 0.0000
0.0000 0.0000 4.4588
Co Pd W
1 3 1
direct
0.0000 0.0000 0.0000
0.0000 0.0000 0.5000
0.0000 0.5000 0.0000
0.5000 0.0000 0.0000
0.5000 0.5000 0.5000

***

Co3PdW (PBE, optimized geometry); E_form = 1.902 eV/atom; spin magnetization = 8.21 μB per formula unit; density of states at the Fermi level = 6.8 states/eV/f.u.
1.0
4.4229 0.0000 0.0000
0.0000 4.4229 0.0000
0.0000 0.0000 4.4229
Co Pd W
3 1 1
direct
0.0000 0.0000 0.5000
0.0000 0.5000 0.0000
0.5000 0.0000 0.0000
0.0000 0.0000 0.0000
0.5000 0.5000 0.5000

***

CoPdW3 (PBE, optimized geometry); E_form = 1.329 eV/atom; spin magnetization = 0.00 μB per formula unit; density of states at the Fermi level = 10.2 states/eV/f.u.
1.0
4.4354 0.0000 0.0000
0.0000 4.4354 0.0000
0.0000 0.0000 4.4354
Co Pd W
1 1 3
direct
0.0000 0.0000 0.0000
0.5000 0.5000 0.5000
0.0000 0.0000 0.5000
0.0000 0.5000 0.0000
0.5000 0.0000 0.0000

***

Co3PdW (PBE, optimized geometry); E_form = 1.481 eV/atom; spin magnetization = 1.43 μB per formula unit; density of states at the Fermi level = 6.4 states/eV/f.u.
1.0
4.3991 0.0000 0.0000
0.0000 4.3991 0.0000
0.0000 0.0000 4.3991
Co Pd W
3 1 1
direct
0.0000 0.0000 0.5000
0.0000 0.5000 0.0000
0.5000 0.0000 0.0000
0.5000 0.5000 0.5000
0.0000 0.0000 0.0000

***

CoPdW2 (PBE, optimized geometry); E_form = 0.509 eV/atom; spin magnetization = 1.53 μB per formula unit; density of states at the Fermi level = 4.6 states/eV/f.u.
1.0
0.0000 3.0930 3.0930
3.0930 0.0000 3.0930
3.0930 3.0930 0.0000
Co Pd W
1 1 2
direct
0.0000 0.0000 0.0000
0.5000 0.5000 0.5000
0.2500 0.2500 0.2500
0.7500 0.7500 0.7500

***

Co4PdW (PBE, optimized geometry); E_form = 0.042 eV/atom; spin magnetization = 3.47 μB per formula unit; density of states at the Fermi level = 8.9 states/eV/f.u.
1.0
0.0000 3.3108 3.3108
3.3108 0.0000 3.3108
3.3108 3.3108 0.0000
Co Pd W
4 1 1
direct
0.1250 0.1250 0.1250
0.1250 0.1250 0.6249
0.1250 0.6249 0.1250
0.6249 0.1250 0.1250
0.7500 0.7500 0.7500
0.5000 0.5000 0.5000

***

Co12Pd3W5 (PBE, optimized geometry); E_form = 0.995 eV/atom; spin magnetization = 0.00 μB per formula unit; density of states at the Fermi level = 18.4 states/eV/f.u.
1.0
-6.8170 6.8170 6.8170
6.8170 -6.8170 6.8170
6.8170 6.8170 -6.8170
Co Pd W
48 12 20
direct
0.0637 0.2309 0.1389
0.0637 0.3328 0.9247
0.0753 0.6389 0.4080
0.0753 0.9363 0.6672
0.0920 0.7309 0.6672
0.0920 0.8611 0.4247
0.1389 0.0637 0.2309
0.1389 0.5753 0.9080
0.1672 0.2309 0.5920
0.1672 0.4363 0.5753
0.2309 0.1389 0.0637
0.2309 0.5920 0.1672
0.2691 0.3328 0.9080
0.2691 0.4363 0.3611
0.3328 0.9080 0.2691
0.3328 0.9247 0.0637
0.3611 0.2691 0.4363
0.3611 0.5920 0.9247
0.4080 0.0753 0.6389
0.4080 0.8328 0.7691
0.4247 0.0920 0.8611
0.4247 0.8328 0.5637
0.4363 0.3611 0.2691
0.4363 0.5753 0.1672
0.5637 0.4247 0.8328
0.5637 0.6389 0.7309
0.5753 0.1672 0.4363
0.5753 0.9080 0.1389
0.5920 0.1672 0.2309
0.5920 0.9247 0.3611
0.6389 0.4080 0.0753
0.6389 0.7309 0.5637
0.6672 0.0753 0.9363
0.6672 0.0920 0.7309
0.7309 0.5637 0.6389
0.7309 0.6672 0.0920
0.7691 0.4080 0.8328
0.7691 0.8611 0.9363
0.8328 0.5637 0.4247
0.8328 0.7691 0.4080
0.8611 0.4247 0.0920
0.8611 0.9363 0.7691
0.9080 0.1389 0.5753
0.9080 0.2691 0.3328
0.9247 0.0637 0.3328
0.9247 0.3611 0.5920
0.9363 0.6672 0.0753
0.9363 0.7691 0.8611
0.1250 0.2500 0.3750
0.1250 0.3750 0.7500
0.2500 0.3750 0.1250
0.2500 0.8750 0.6250
0.3750 0.1250 0.2500
0.3750 0.7500 0.1250
0.6250 0.2500 0.8750
0.6250 0.8750 0.7500
0.7500 0.1250 0.3750
0.7500 0.6250 0.8750
0.8750 0.6250 0.2500
0.8750 0.7500 0.6250
0.0000 0.0000 0.0000
0.0000 0.0000 0.5000
0.0000 0.5000 0.0000
0.0000 0.5000 0.5000
0.1250 0.7500 0.8750
0.1250 0.8750 0.2500
0.2500 0.1250 0.8750
0.2500 0.6250 0.3750
0.3750 0.2500 0.6250
0.3750 0.6250 0.7500
0.5000 0.0000 0.0000
0.5000 0.0000 0.5000
0.5000 0.5000 0.0000
0.5000 0.5000 0.5000
0.6250 0.3750 0.2500
0.6250 0.7500 0.3750
0.7500 0.3750 0.6250
0.7500 0.8750 0.1250
0.8750 0.1250 0.7500
0.8750 0.2500 0.1250

***

CoPd3W (PBE, optimized geometry); E_form = 1.531 eV/atom; spin magnetization = 1.98 μB per formula unit; density of states at the Fermi level = 4.5 states/eV/f.u.
1.0
4.7862 0.0000 0.0000
0.0000 4.7862 0.0000
0.0000 0.0000 4.7862
Co Pd W
1 3 1
direct
0.0000 0.0000 0.0000
0.0000 0.5000 0.5000
0.5000 0.0000 0.5000
0.5000 0.5000 0.0000
0.5000 0.5000 0.5000

***

CoPdW2 (PBE, optimized geometry); E_form = 0.731 eV/atom; spin magnetization = 0.45 μB per formula unit; density of states at the Fermi level = 4.9 states/eV/f.u.
1.0
-1.8795 1.8795 8.9839
1.8795 -1.8795 8.9839
1.8795 1.8795 -8.9839
Co Pd W
2 2 4
direct
0.0000 0.0000 0.0000
0.7500 0.2500 0.5000
0.2500 0.7500 0.5000
0.5000 0.5000 0.0000
0.1066 0.6250 0.9816
0.3750 0.3566 0.4816
0.6434 0.1250 0.0184
0.8750 0.8934 0.5184

***

Y4CoPd (PBE, optimized geometry); E_form = -0.353 eV/atom; spin magnetization = 0.00 μB per formula unit; density of states at the Fermi level = 7.8 states/eV/f.u.
1.0
4.4219 -6.6265 0.0000
4.4219 6.6265 0.0000
-3.3841 0.0000 5.1908
Y Co Pd
8 2 2
direct
0.0548 0.6978 0.9014
0.2268 0.3498 0.7138
0.3022 0.9452 0.5986
0.3498 0.2268 0.2138
0.6502 0.7732 0.7862
0.6978 0.0548 0.4014
0.7732 0.6502 0.2862
0.9452 0.3022 0.0986
0.0023 0.9977 0.2500
0.9977 0.0023 0.7500
0.3645 0.6355 0.2500
0.6355 0.3645 0.7500

***

YCoPd3 (PBE, optimized geometry); E_form = 0.022 eV/atom; spin magnetization = 2.26 μB per formula unit; density of states at the Fermi level = 4.3 states/eV/f.u.
1.0
4.6260 0.0000 0.0000
0.0000 4.6260 0.0000
0.0000 0.0000 4.6260
Y Co Pd
1 1 3
direct
0.0000 0.0000 0.0000
0.5000 0.5000 0.5000
0.0000 0.5000 0.5000
0.5000 0.0000 0.5000
0.5000 0.5000 0.0000

***

Y6CoPd2 (PBE, optimized geometry); E_form = -0.448 eV/atom; spin magnetization = 0.00 μB per formula unit; density of states at the Fermi level = 8.1 states/eV/f.u.
1.0
6.5510 0.0000 0.0000
0.0000 7.3320 0.0000
-6.4389 0.0000 9.8446
Y Co Pd
12 2 4
direct
0.1081 0.0337 0.2498
0.1081 0.4663 0.7498
0.2290 0.6781 0.0650
0.2290 0.8219 0.5650
0.3912 0.1823 0.0630
0.3912 0.3177 0.5630
0.6088 0.6823 0.4370
0.6088 0.8177 0.9370
0.7710 0.1781 0.4350
0.7710 0.3219 0.9350
0.8919 0.5337 0.2502
0.8919 0.9663 0.7502
0.5000 0.0000 0.5000
0.5000 0.5000 0.0000
0.3084 0.1147 0.7524
0.3084 0.3853 0.2524
0.6916 0.6147 0.7476
0.6916 0.8853 0.2476

***

YCoPd (PBE, optimized geometry); E_form = -0.228 eV/atom; spin magnetization = 0.99 μB per formula unit; density of states at the Fermi level = 3.0 states/eV/f.u.
1.0
4.7531 -2.7753 0.0000
4.7531 2.7753 0.0000
-2.3008 0.0000 4.0805
Y Co Pd
2 2 2
direct
0.1333 0.1333 0.3830
0.8667 0.8667 0.6170
0.4746 0.4746 0.7247
0.5254 0.5254 0.2753
0.0000 0.5000 0.0000
0.5000 0.0000 0.0000

***

YCo2Pd (PBE, optimized geometry); E_form = 0.118 eV/atom; spin magnetization = 2.86 μB per formula unit; density of states at the Fermi level = 3.7 states/eV/f.u.
1.0
-2.0059 2.0059 9.1799
2.0059 -2.0059 9.1799
2.0059 2.0059 -9.1799
Y Co Pd
2 4 2
direct
0.0000 0.0000 0.0000
0.7500 0.2500 0.5000
0.2499 0.6250 0.1249
0.3750 0.4999 0.6249
0.5001 0.1250 0.8751
0.8750 0.7501 0.3751
0.2500 0.7500 0.5000
0.5000 0.5000 0.0000

***

YCo2Pd2 (PBE, optimized geometry); E_form = -0.239 eV/atom; spin magnetization = 3.33 μB per formula unit; density of states at the Fermi level = 4.0 states/eV/f.u.
1.0
-2.0062 2.0062 5.2140
2.0062 -2.0062 5.2140
2.0062 2.0062 -5.2140
Y Co Pd
1 2 2
direct
0.0000 0.0000 0.0000
0.3985 0.3985 0.0000
0.6015 0.6015 0.0000
0.2500 0.7500 0.5000
0.7500 0.2500 0.5000

***

YCo2Pd (PBE, optimized geometry); E_form = 0.039 eV/atom; spin magnetization = 2.33 μB per formula unit; density of states at the Fermi level = 9.8 states/eV/f.u.
1.0
0.0000 3.1601 3.1601
3.1601 0.0000 3.1601
3.1601 3.1601 0.0000
Y Co Pd
1 2 1
direct
0.0000 0.0000 0.0000
0.2500 0.2500 0.2500
0.7500 0.7500 0.7500
0.5000 0.5000 0.5000

***

YCo2Pd2 (PBE, optimized geometry); E_form = -0.113 eV/atom; spin magnetization = 3.45 μB per formula unit; density of states at the Fermi level = 5.6 states/eV/f.u.
1.0
7.2962 0.0000 0.0000
0.0000 7.2962 0.0000
0.0000 0.0000 3.0001
Y Co Pd
2 4 4
direct
0.0000 0.0000 0.0000
0.5000 0.5000 0.0000
0.1120 0.3880 0.0000
0.3880 0.8880 0.0000
0.6120 0.1120 0.0000
0.8880 0.6120 0.0000
0.1811 0.6811 0.5000
0.3189 0.1811 0.5000
0.6811 0.8189 0.5000
0.8189 0.3189 0.5000

***

Y2CoPd2 (PBE, optimized geometry); E_form = -0.218 eV/atom; spin magnetization = 0.00 μB per formula unit; density of states at the Fermi level = 4.8 states/eV/f.u.
1.0
7.5964 0.0000 0.0000
0.0000 7.5964 0.0000
0.0000 0.0000 3.6382
Y Co Pd
4 2 4
direct
0.1720 0.3280 0.0000
0.3280 0.8280 0.0000
0.6720 0.1720 0.0000
0.8280 0.6720 0.0000
0.0000 0.0000 0.0000
0.5000 0.5000 0.0000
0.1302 0.6302 0.5000
0.3698 0.1302 0.5000
0.6302 0.8698 0.5000
0.8698 0.3698 0.5000

***

Y8CoPd2 (PBE, optimized geometry); E_form = -0.242 eV/atom; spin magnetization = 0.00 μB per formula unit; density of states at the Fermi level = 13.6 states/eV/f.u.
1.0
4.2360 -6.2872 0.0000
4.2360 6.2872 0.0000
-2.3346 0.0000 5.7085
Y Co Pd
8 1 2
direct
0.0000 0.0000 0.0000
0.0137 0.2730 0.5520
0.1591 0.5419 0.1796
0.2730 0.0137 0.5520
0.4407 0.6992 0.7844
0.5419 0.1591 0.1796
0.6992 0.4407 0.7844
0.7071 0.7071 0.3673
0.3473 0.3473 0.3855
0.0471 0.6763 0.6831
0.6763 0.0471 0.6831